# 1
! Ca2AgN PBE-GGA relaxed; values from VASP
! Total energy = -0.308 Ry per atom
! Uncorrected formation energy = -0.3973 eV per atom
! SG = No. 122
&SYSTEM
  ibrav = 0, nat = 8, ntyp = 3
/
ATOMIC_SPECIES
Ca 40.08 Ca.upf
Ag 107.87 Ag.upf
N 14.01 N.upf
CELL_PARAMETERS angstrom
-3.4862 3.4862 4.0912
3.4862 -3.4862 4.0912
3.4862 3.4862 -4.0912
ATOMIC_POSITIONS angstrom
Ca 5.2293 1.0378 -1.0228
Ca 1.0378 1.7431 1.0228
Ca -1.7431 2.4484 3.0684
Ca 2.4484 1.7431 5.1140
Ag 3.4862 0.0000 2.0456
Ag 0.0000 0.0000 4.0912
N 0.0000 0.0000 0.0000
N 0.0000 3.4862 2.0456

# 2
! TbYCd14 PBE-GGA relaxed; values from VASP
! Total energy = -0.120 Ry per atom
! SG = No. 123
&SYSTEM
  ibrav = 0, nat = 16, ntyp = 3
/
ATOMIC_SPECIES
Tb 158.93 Tb.upf
Y 88.91 Y.upf
Cd 112.41 Cd.upf
CELL_PARAMETERS angstrom
6.6033 0.0000 0.0000
0.0000 6.6033 0.0000
0.0000 0.0000 8.5012
ATOMIC_POSITIONS angstrom
Tb 0.0000 0.0000 0.0000
Y 3.3016 3.3016 0.0000
Cd 0.0000 0.0000 4.2506
Cd 0.0000 3.3016 0.0000
Cd 0.0000 3.3016 4.2506
Cd 1.6518 1.6518 2.1964
Cd 1.6518 1.6518 6.3048
Cd 1.6518 4.9514 2.1964
Cd 1.6518 4.9514 6.3048
Cd 3.3016 0.0000 0.0000
Cd 3.3016 0.0000 4.2506
Cd 3.3016 3.3016 4.2506
Cd 4.9514 1.6518 2.1964
Cd 4.9514 1.6518 6.3048
Cd 4.9514 4.9514 2.1964
Cd 4.9514 4.9514 6.3048

# 3
! Tm2TaSi2Rh5 PBE-GGA relaxed; values from VASP
! Total energy = -0.570 Ry per atom
! Uncorrected formation energy = -0.9128 eV per atom
! SG = No. 127
&SYSTEM
  ibrav = 0, nat = 20, ntyp = 4
/
ATOMIC_SPECIES
Tm 168.93 Tm.upf
Ta 180.95 Ta.upf
Si 28.09 Si.upf
Rh 102.91 Rh.upf
CELL_PARAMETERS angstrom
9.6033 0.0000 0.0000
0.0000 9.6033 0.0000
0.0000 0.0000 3.5570
ATOMIC_POSITIONS angstrom
Tm 1.6719 3.1298 0.0000
Tm 3.1298 7.9314 0.0000
Tm 6.4736 1.6719 0.0000
Tm 7.9314 6.4736 0.0000
Ta 0.0000 0.0000 0.0000
Ta 4.8017 4.8017 0.0000
Si 1.1832 5.9848 0.0000
Si 3.6185 1.1832 0.0000
Si 5.9848 8.4202 0.0000
Si 8.4202 3.6185 0.0000
Rh 0.0000 4.8017 1.7785
Rh 0.6577 7.5967 1.7785
Rh 2.0067 0.6577 1.7785
Rh 2.7950 5.4594 1.7785
Rh 4.1440 2.7950 1.7785
Rh 4.8017 0.0000 1.7785
Rh 5.4594 6.8083 1.7785
Rh 6.8083 4.1440 1.7785
Rh 7.5967 8.9456 1.7785
Rh 8.9456 2.0067 1.7785

# 4
! TmTlSn2 PBE-GGA relaxed; values from VASP
! Total energy = -0.280 Ry per atom
! SG = No. 225
&SYSTEM
  ibrav = 0, nat = 4, ntyp = 3
/
ATOMIC_SPECIES
Tm 168.93 Tm.upf
Tl 204.38 Tl.upf
Sn 118.71 Sn.upf
CELL_PARAMETERS angstrom
0.0000 3.8229 3.8229
3.8229 0.0000 3.8229
3.8229 3.8229 0.0000
ATOMIC_POSITIONS angstrom
Tm 0.0000 0.0000 0.0000
Tl 3.8229 3.8229 3.8229
Sn 1.9115 1.9115 1.9115
Sn 5.7344 5.7344 5.7344